Record 1
Here is a relaxed BeCd2W crystal from the Alexandria database. Energies are from GGA-PBE.

## Properties
The calculated density comes out at 10.349 g cm⁻³. Its formation energy is 408 meV/atom. For the electronic total energy, the calculation gives -4.219 eV/atom.

Unit cell a=2.7889 b=2.7889 c=8.6161 alpha=90.00 beta=90.00 gamma=90.00
Last column: nearest neighbours and their distance in Å.
Space group P4mm (No. 99)
Inequivalent atoms, fractional coordinates:
Be (0.0000, 0.0000, 0.0000)  4 W 2.58, 4 Cd 2.78, 4 Be 2.79
Cd (0.0000, 0.0000, 0.5362)  4 Cd 2.79, 4 W 3.05
Cd (0.5000, 0.5000, 0.2275)  4 Be 2.78, 4 Cd 2.79
W (0.5000, 0.5000, 0.8064)  4 Be 2.58, 4 W 2.79

=====

Record 2
Here is a relaxed TaNb6Os2 crystal from the Alexandria database. Energies are from GGA-PBE.

## Properties
The calculated density comes out at 12.007 g cm⁻³. Its formation energy is -233 meV/atom. For the electronic total energy, the calculation gives -10.759 eV/atom.

Unit cell a=10.3508 b=3.2389 c=9.7755 alpha=90.00 beta=109.22 gamma=90.00
Last column: nearest neighbours and their distance in Å.
Space group C2/m (No. 12)
Inequivalent atoms, fractional coordinates:
Ta (0.0000, 0.0000, 0.0000)  4 Os 2.76, 4 Nb 2.87
Nb (0.0017, 0.0000, 0.6701)  6 Nb 2.79-2.85, 2 Os 2.81
Nb (0.1700, 0.5000, 0.5573)  6 Nb 2.80-2.85, 2 Os 2.82
Nb (0.1715, 0.5000, 0.8878)  4 Nb 2.78-2.79, 2 Os 2.80, 2 Ta 2.87
Os (0.1619, 0.5000, 0.2184)  2 Ta 2.76, 6 Nb 2.80-2.82

=====

Record 3
Here is a relaxed Ti5IrRh4 crystal from the Alexandria database. Energies are from GGA-PBE.

## Properties
The calculated density comes out at 9.326 g cm⁻³. Its formation energy is -765 meV/atom. For the electronic total energy, the calculation gives -8.539 eV/atom.

Unit cell a=2.9296 b=2.9296 c=17.4935 alpha=90.00 beta=90.00 gamma=90.00
Last column: nearest neighbours and their distance in Å.
Space group P4/mmm (No. 123)
Inequivalent atoms, fractional coordinates:
Ti (0.0000, 0.0000, 0.0000)  8 Rh 2.70, 4 Ti 2.93
Ti (0.0000, 0.0000, 0.1995)  8 Rh 2.71-2.72, 4 Ti 2.93
Ti (0.0000, 0.0000, 0.3998)  4 Ir 2.71, 4 Rh 2.72, 4 Ti 2.93
Ir (0.5000, 0.5000, 0.5000)  8 Ti 2.71, 4 Ir 2.93
Rh (0.5000, 0.5000, 0.0990)  8 Ti 2.70-2.72, 4 Rh 2.93
Rh (0.5000, 0.5000, 0.2993)  8 Ti 2.71-2.72, 4 Rh 2.93

=====

Record 4
Here is a relaxed MgSe4 crystal from the Alexandria database. Energies are from GGA-PBE.

## Properties
Its offset from the most stable computed form is 97 meV/atom. The calculated density comes out at 4.066 g cm⁻³. The uncorrected formation energy comes out at -0.216 eV per atom. For the electronic total energy, the calculation gives -3.323 eV/atom.

Unit cell a=7.9335 b=7.9335 c=4.4139 alpha=90.00 beta=90.00 gamma=90.00
Last column: nearest neighbours and their distance in Å.
Space group I4/m (No. 87)
Inequivalent atoms, fractional coordinates:
Mg (0.0000, 0.0000, 0.0000)  4 Se 2.69
Se (0.1805, 0.7130, 0.0000)  2 Se 2.54, 1 Mg 2.69

=====

Record 5
Here is a relaxed Sc2Ti2Al crystal from the Alexandria database. Energies are from GGA-PBE.

## Properties
Its offset from the most stable computed form is 175 meV/atom. The calculated density comes out at 3.529 g cm⁻³. Its formation energy is 181 meV/atom. For the electronic total energy, the calculation gives -6.258 eV/atom.

Unit cell a=7.3521 b=7.3521 c=3.7024 alpha=90.00 beta=90.00 gamma=90.00
Last column: nearest neighbours and their distance in Å.
Space group P4/mbm (No. 127)
Inequivalent atoms, fractional coordinates:
Sc (0.1487, 0.3513, 0.0000)  2 Al 2.80, 6 Ti 2.83-2.85, 1 Sc 3.09
Ti (0.1456, 0.6456, 0.5000)  6 Sc 2.83-2.85, 1 Ti 3.03
Al (0.0000, 0.0000, 0.0000)  4 Sc 2.80

=====

Record 6
Here is a relaxed CeAgPdF6 crystal from the Alexandria database. Energies are from GGA-PBE.

## Properties
The calculated density comes out at 5.093 g cm⁻³. The uncorrected formation energy comes out at -2.341 eV per atom. For the electronic total energy, the calculation gives -5.142 eV/atom.

Unit cell a=6.0576 b=6.0576 c=9.6114 alpha=90.00 beta=90.00 gamma=120.00
Last column: nearest neighbours and their distance in Å.
Space group P-31c (No. 163)
Inequivalent atoms, fractional coordinates:
Ce (0.3333, 0.6667, 0.2500)  6 F 2.24
Ag (0.3333, 0.6667, 0.7500)  6 F 2.49
Pd (0.0000, 0.0000, 0.0000)  6 F 2.33
F (0.0327, 0.3455, 0.1249)  1 Ce 2.24, 1 Pd 2.33, 1 Ag 2.49

=====

Record 7
Here is a relaxed Ac8AsOs3I4 crystal from the Alexandria database. Energies are from GGA-PBE.

## Properties
The calculated density comes out at 8.405 g cm⁻³. The uncorrected formation energy comes out at -0.768 eV per atom. For the electronic total energy, the calculation gives -5.606 eV/atom.

Unit cell a=8.9420 b=8.9420 c=25.4184 alpha=90.00 beta=90.00 gamma=120.00
Last column: nearest neighbours and their distance in Å.
Space group R-3m (No. 166, hexagonal axes)
Inequivalent atoms, fractional coordinates:
Ac (0.0000, 0.0000, 0.2303)  3 Os 3.05
Ac (0.0177, 0.5089, 0.7722)  2 Os 2.96, 1 As 3.13
As (0.0000, 0.0000, 0.5000)  6 Ac 3.13
Os (0.0000, 0.5000, 0.5000)  6 Ac 2.96-3.05
I (0.0000, 0.0000, 0.0000)  6 Ac 3.63
I (0.0000, 0.5000, 0.0000)  6 Ac 3.68-3.77

=====

Record 8
Here is a relaxed Pr3Tl2Ir crystal from the Alexandria database. Energies are from GGA-PBE.

## Properties
The calculated density comes out at 9.262 g cm⁻³. Its formation energy is -396 meV/atom. For the electronic total energy, the calculation gives -5.052 eV/atom.

Unit cell a=18.5775 b=5.5758 c=7.7905 alpha=90.00 beta=114.53 gamma=90.00
Last column: nearest neighbours and their distance in Å.
Space group C2/c (No. 15)
Inequivalent atoms, fractional coordinates:
Pr (0.0000, 0.0007, 0.2500)  2 Ir 2.79
Pr (0.1294, 0.5000, 0.1284)  2 Ir 2.93
Tl (0.1951, 0.9999, 0.4472)  7 Pr 3.30-3.59, 2 Tl 3.35
Ir (0.0000, 0.4994, 0.7500)  6 Pr 2.79-2.93

=====

Record 9
Here is a relaxed HoPa3C4 crystal from the Alexandria database. Energies are from GGA-PBE.

## Properties
The calculated density comes out at 11.519 g cm⁻³. Its formation energy is -421 meV/atom. For the electronic total energy, the calculation gives -9.166 eV/atom.

Unit cell a=5.0738 b=5.0738 c=5.0738 alpha=90.00 beta=90.00 gamma=90.00
Last column: nearest neighbours and their distance in Å.
Space group Pm-3m (No. 221)
Inequivalent atoms, fractional coordinates:
Ho (0.0000, 0.0000, 0.0000)  6 C 2.54
Pa (0.0000, 0.5000, 0.5000)  6 C 2.54
C (0.0000, 0.0000, 0.5000)  2 Ho 2.54, 4 Pa 2.54
C (0.5000, 0.5000, 0.5000)  6 Pa 2.54

=====

Record 10
Here is a relaxed GaMo2OsPb crystal from the Alexandria database. Energies are from GGA-PBE.

## Properties
The calculated density comes out at 8.766 g cm⁻³. Its formation energy is 2860 meV/atom. For the electronic total energy, the calculation gives -5.065 eV/atom.

Unit cell a=5.0824 b=5.0824 c=4.8328 alpha=90.00 beta=90.00 gamma=90.00
Last column: nearest neighbours and their distance in Å.
Space group P4/mmm (No. 123)
Inequivalent atoms, fractional coordinates:
Ga (0.0000, 0.0000, 0.0000)  2 Pb 2.42
Mo (0.0000, 0.5000, 0.5000)  2 Pb 2.54
Os (0.5000, 0.5000, 0.0000)  8 Mo 3.51, 4 Ga 3.59
Pb (0.0000, 0.0000, 0.5000)  2 Ga 2.42, 4 Mo 2.54

=====

Record 11
Here is a relaxed LaCoMo2 crystal from the Alexandria database. Energies are from GGA-PBE.

## Properties
Its offset from the most stable computed form is 193 meV/atom. The calculated density comes out at 8.069 g cm⁻³. Its formation energy is 510 meV/atom. For the electronic total energy, the calculation gives -7.914 eV/atom.

Unit cell a=4.9835 b=6.9054 c=4.6613 alpha=90.00 beta=90.00 gamma=90.00
Last column: nearest neighbours and their distance in Å.
Space group Cmmm (No. 65)
Inequivalent atoms, fractional coordinates:
La (0.0000, 0.0000, 0.0000)  2 Co 2.49
Co (0.0000, 0.5000, 0.0000)  2 La 2.49, 4 Mo 2.61
Mo (0.0000, 0.3295, 0.5000)  1 Mo 2.35, 2 Co 2.61

=====

Record 12
Here is a relaxed Cs2K6Hg crystal from the Alexandria database. Energies are from GGA-PBE.

## Properties
Its offset from the most stable computed form is 0 meV/atom. The calculated density comes out at 1.761 g cm⁻³. Its formation energy is -42 meV/atom. For the electronic total energy, the calculation gives -0.997 eV/atom.

Unit cell a=13.8270 b=13.8270 c=13.8270 alpha=90.00 beta=90.00 gamma=90.00
Last column: nearest neighbours and their distance in Å.
Space group Fm-3m (No. 225)
Inequivalent atoms, fractional coordinates:
Cs (0.2500, 0.2500, 0.2500)  12 K 4.89
K (0.0000, 0.0000, 0.2452)  1 Hg 3.52
Hg (0.0000, 0.0000, 0.5000)  6 K 3.52

=====

Question: Which value of electronic total energy does entry 5 give?
Answer: -6.258 eV/atom